1.
Material: Ca3FeAu
Method: DFT, PBE
State: optimized geometry

Calculated values
- Calculated volume: 177.1 Å³ per cell
- Calculated formation energy: 297 meV per atom
- Calculated total energy: -16.259 eV per formula unit

Unit cell a=5.6159 b=5.6159 c=5.6159 alpha=90.00 beta=90.00 gamma=90.00
Last column: nearest neighbours and their distance in Å.
Space group Pm-3m (No. 221)
One atom of each set of equivalent atoms:
Ca  0.0000  0.0000  0.5000  2 Au 2.81
Fe  0.5000  0.5000  0.5000  12 Ca 3.97
Au  0.0000  0.0000  0.0000  6 Ca 2.81


2.
Material: CaFeAu3
Method: DFT, PBE
State: optimized geometry

Calculated values
- Calculated volume: 117.4 Å³ per cell
- Calculated formation energy: -25 meV per atom
- Calculated total energy: -20.421 eV per formula unit

Unit cell a=4.8962 b=4.8962 c=4.8962 alpha=90.00 beta=90.00 gamma=90.00
Last column: nearest neighbours and their distance in Å.
Space group Pm-3m (No. 221)
One atom of each set of equivalent atoms:
Ca  0.0000  0.0000  0.0000  12 Au 3.46
Fe  0.5000  0.5000  0.5000  6 Au 2.45
Au  0.0000  0.5000  0.5000  2 Fe 2.45


3.
Material: Ca2FeAu
Method: DFT, PBE
State: optimized geometry

Calculated values
- Calculated volume: 310.3 Å³ per cell
- Calculated formation energy: 175 meV per atom
- Calculated total energy: -15.045 eV per formula unit

Unit cell a=3.7109 b=3.7109 c=26.0219 alpha=90.00 beta=90.00 gamma=120.00
Last column: nearest neighbours and their distance in Å.
Space group R-3m (No. 166, hexagonal axes)
One atom of each set of equivalent atoms:
Ca  0.0000  0.0000  0.2504  3 Au 3.04, 3 Fe 3.06
Fe  0.0000  0.0000  0.5000  6 Ca 3.06
Au  0.0000  0.0000  0.0000  6 Ca 3.04


4.
Material: CaFe2Au
Method: DFT, PBE
State: optimized geometry

Calculated values
- Calculated volume: 281.0 Å³ per cell
- Calculated formation energy: 273 meV per atom
- Calculated total energy: -21.112 eV per formula unit

Unit cell a=6.5496 b=6.5496 c=6.5496 alpha=90.00 beta=90.00 gamma=90.00
Last column: nearest neighbours and their distance in Å.
Space group F-43m (No. 216)
One atom of each set of equivalent atoms:
Ca  0.0000  0.0000  0.0000  4 Au 2.84, 4 Fe 2.84
Fe  0.0000  0.0000  0.5000  4 Fe 2.84, 4 Au 2.84
Fe  0.2500  0.2500  0.2500  4 Fe 2.84, 4 Ca 2.84
Au  0.2500  0.2500  0.7500  4 Fe 2.84, 4 Ca 2.84